(1)
{
  "formula": "Dy3Sc2Hg2",
  "functional": "GGA-PBE",
  "state": "relaxed",
  "lattice": [[4.7420, 0.0000, 0.6293], [0.0000, 3.4423, 0.0000], [0.9230, 0.0000, 11.2255]],
  "species": ["Sc", "Hg", "Hg", "Dy", "Dy", "Dy", "Sc"],
  "frac_coords": [[0.2867, 0.5000, 0.4267], [0.5741, 0.5000, 0.8517], [0.4259, 0.5000, 0.1483], [0.0000, 0.0000, 0.0000], [0.8491, 0.0000, 0.3017], [0.1509, 0.0000, 0.6983], [0.7133, 0.5000, 0.5733]],
  "crystal_system": "orthorhombic",
  "e_tot_ev_per_atom": -4.02,
  "total_magnetization_mub_per_cell": 0.00,
  "delta_e_f_mev_per_atom": -153.0
}

(2)
{
  "formula": "CoP2Rh",
  "functional": "GGA-PBE",
  "state": "relaxed",
  "lattice": [[7.2408, 0.0028, 0.0016], [6.6766, 2.8021, 0.0016], [6.6766, 1.3456, 2.4578]],
  "species": ["Co", "P", "Rh", "P"],
  "frac_coords": [[0.7500, 0.7500, 0.7500], [0.0054, 0.0054, 0.0054], [0.2500, 0.2500, 0.2500], [0.4946, 0.4946, 0.4946]],
  "crystal_system": "trigonal",
  "e_tot_ev_per_atom": -6.58,
  "de_polymorph_mev_per_atom": 151,
  "total_magnetization_mub_per_cell": 0.32,
  "delta_e_f_mev_per_atom": -265.7
}

(3)
{
  "formula": "AgTePt2",
  "functional": "GGA-PBE",
  "state": "relaxed",
  "lattice": [[-5.7939, -2.5418, -1.3398], [-3.2584, -3.9061, -3.9939], [-3.3902, -5.4918, -0.4158]],
  "species": ["Pt", "Te", "Ag", "Pt"],
  "frac_coords": [[0.9988, 0.9988, 0.9988], [0.2500, 0.2500, 0.2500], [0.7500, 0.7500, 0.7500], [0.5012, 0.5012, 0.5012]],
  "crystal_system": "trigonal",
  "e_tot_ev_per_atom": -4.44,
  "raw_formation_energy_ev_per_fu": 0.317,
  "total_magnetization_mub_per_cell": 0.00
}

(4)
{
  "formula": "LuCo5P3",
  "functional": "GGA-PBE",
  "state": "relaxed",
  "lattice": [[-3.4656, 0.8134, 0.6318], [1.3502, -1.9731, 9.9461], [2.9459, 11.1450, 1.8111]],
  "species": ["Co", "Co", "Co", "Co", "Co", "Co", "P", "P", "Co", "Co", "Co", "Co", "Co", "Co", "Lu", "Co", "Lu", "Co", "P", "P", "P", "P", "Co", "Lu", "Co", "P", "Co", "Lu", "P", "P", "Co", "P", "Co", "Co", "P", "P"],
  "frac_coords": [[0.7500, 0.3832, 0.8009], [0.7500, 0.9675, 0.5688], [0.2500, 0.0926, 0.9865], [0.2500, 0.0325, 0.4312], [0.2500, 0.6168, 0.1991], [0.7500, 0.7787, 0.8237], [0.7500, 0.7689, 0.6303], [0.7500, 0.9183, 0.3869], [0.7500, 0.5325, 0.0688], [0.2500, 0.2213, 0.1763], [0.2500, 0.2787, 0.6763], [0.2500, 0.4675, 0.9312], [0.7500, 0.1168, 0.3009], [0.7500, 0.2823, 0.0076], [0.7500, 0.0826, 0.7970], [0.7500, 0.2177, 0.5076], [0.7500, 0.4174, 0.2970], [0.2500, 0.7823, 0.4924], [0.7500, 0.3995, 0.6096], [0.2500, 0.8995, 0.8904], [0.7500, 0.5817, 0.8869], [0.7500, 0.7311, 0.1303], [0.7500, 0.5926, 0.5135], [0.2500, 0.5826, 0.7030], [0.2500, 0.4074, 0.4865], [0.2500, 0.0817, 0.6131], [0.7500, 0.9074, 0.0135], [0.2500, 0.9174, 0.2030], [0.2500, 0.2311, 0.3697], [0.2500, 0.4183, 0.1131], [0.2500, 0.7177, 0.9924], [0.7500, 0.1005, 0.1096], [0.2500, 0.8832, 0.6991], [0.7500, 0.7213, 0.3237], [0.2500, 0.2689, 0.8697], [0.2500, 0.6005, 0.3904]],
  "crystal_system": "orthorhombic",
  "e_tot_ev_per_atom": -7.11,
  "total_magnetization_mub_per_cell": 4.55,
  "delta_e_f_mev_per_atom": -852.9
}

(5)
{
  "formula": "GaPd2Pt6",
  "functional": "GGA-PBE",
  "state": "relaxed",
  "lattice": [[6.6521, -2.3339, -1.7735], [-2.3561, 6.7451, 0.8716], [-4.4498, 1.4823, 8.6948]],
  "species": ["Pt", "Pt", "Pd", "Pd", "Pt", "Pt", "Pt", "Ga", "Pt", "Pt", "Pt", "Pd", "Pt", "Pd", "Pt", "Ga", "Pt", "Pt"],
  "frac_coords": [[0.4626, 0.0191, 0.2829], [0.5519, 0.4750, 0.2141], [0.7253, 0.3265, 0.1121], [0.7731, 0.8841, 0.6387], [0.0398, 0.7338, 0.9834], [0.0507, 0.2190, 0.4761], [0.4481, 0.5250, 0.7859], [0.1747, 0.1817, 0.9226], [0.8580, 0.3334, 0.5820], [0.5374, 0.9809, 0.7171], [0.9602, 0.2662, 0.0166], [0.2269, 0.1159, 0.3614], [0.9493, 0.7810, 0.5239], [0.2747, 0.6735, 0.8879], [0.1420, 0.6666, 0.4180], [0.8253, 0.8183, 0.0774], [0.6445, 0.4223, 0.6823], [0.3555, 0.5777, 0.3177]],
  "crystal_system": "triclinic",
  "e_tot_ev_per_atom": -5.64,
  "de_polymorph_mev_per_atom": 0,
  "total_magnetization_mub_per_cell": 0.00,
  "delta_e_f_mev_per_atom": -120.9
}

(6)
{
  "formula": "CaMn2W",
  "functional": "GGA-PBE",
  "state": "relaxed",
  "lattice": [[-3.7824, -0.7283, 2.1830], [-1.5712, -0.8984, 4.0407], [-0.8505, 6.0810, 1.5692]],
  "species": ["W", "Mn", "Mn", "Ca"],
  "frac_coords": [[0.7500, 0.7500, 0.7500], [0.0132, 0.0132, 0.9217], [0.4868, 0.4868, 0.5783], [0.2500, 0.2500, 0.2500]],
  "crystal_system": "monoclinic",
  "e_tot_ev_per_atom": -7.74,
  "de_polymorph_mev_per_atom": 195,
  "total_magnetization_mub_per_cell": 5.70,
  "delta_e_f_mev_per_atom": 584.3
}

(7)
{
  "formula": "Na3IrPb",
  "functional": "GGA-PBE",
  "state": "relaxed",
  "lattice": [[5.3768, 0.0000, 0.0000], [0.0000, 5.3768, 0.0000], [0.0000, 0.0000, 5.3768]],
  "species": ["Na", "Na", "Ir", "Pb", "Na"],
  "frac_coords": [[0.0000, 0.0000, 0.5000], [0.0000, 0.5000, 0.0000], [0.0000, 0.0000, 0.0000], [0.5000, 0.5000, 0.5000], [0.5000, 0.0000, 0.0000]],
  "crystal_system": "cubic",
  "e_tot_ev_per_atom": -2.57,
  "de_polymorph_mev_per_atom": 0,
  "total_magnetization_mub_per_cell": 0.00,
  "delta_e_f_mev_per_atom": 738.4
}

(8)
{
  "formula": "Tl2NiHgTe",
  "functional": "GGA-PBE",
  "state": "relaxed",
  "lattice": [[5.2011, 0.0000, 0.0000], [0.0000, 5.2011, 0.0000], [0.0000, 0.0000, 5.0904]],
  "species": ["Tl", "Hg", "Tl", "Ni", "Te"],
  "frac_coords": [[0.5000, 0.0000, 0.0000], [0.0000, 0.0000, 0.5000], [0.0000, 0.5000, 0.0000], [0.0000, 0.0000, 0.0000], [0.5000, 0.5000, 0.5000]],
  "crystal_system": "tetragonal",
  "e_tot_ev_per_atom": -2.73,
  "de_polymorph_mev_per_atom": 68,
  "raw_formation_energy_ev_per_fu": 0.289,
  "total_magnetization_mub_per_cell": 0.00
}

(9)
{
  "formula": "Mn2CoRu2",
  "functional": "GGA-PBE",
  "state": "relaxed",
  "lattice": [[7.0472, 0.0000, 0.0000], [0.0000, 7.0472, 0.0000], [0.0000, 0.0000, 2.6341]],
  "species": ["Mn", "Co", "Ru", "Ru", "Mn", "Mn", "Co", "Ru", "Ru", "Mn"],
  "frac_coords": [[0.8345, 0.3345, 0.5000], [0.0000, 0.0000, 0.0000], [0.1319, 0.3681, 0.0000], [0.3681, 0.8681, 0.0000], [0.1655, 0.6655, 0.5000], [0.3345, 0.1655, 0.5000], [0.5000, 0.5000, 0.0000], [0.6319, 0.1319, 0.0000], [0.8681, 0.6319, 0.0000], [0.6655, 0.8345, 0.5000]],
  "crystal_system": "tetragonal",
  "e_tot_ev_per_atom": -8.44,
  "de_polymorph_mev_per_atom": 97,
  "total_magnetization_mub_per_cell": 1.30,
  "delta_e_f_mev_per_atom": 356.6
}

(10)
{
  "formula": "Pm4ErAl",
  "functional": "GGA-PBE",
  "state": "relaxed",
  "lattice": [[6.3123, -0.6605, 0.0000], [-2.5173, 8.7104, 0.0000], [-1.8975, -4.0250, 7.0360]],
  "species": ["Al", "Pm", "Er", "Pm", "Pm", "Er", "Pm", "Pm", "Pm", "Al", "Pm", "Pm"],
  "frac_coords": [[0.7502, 0.0002, 0.0005], [0.2369, 0.2841, 0.3683], [0.6586, 0.4086, 0.8173], [0.7631, 0.7159, 0.6317], [0.6314, 0.0842, 0.3683], [0.3414, 0.5914, 0.1827], [0.3686, 0.9158, 0.6317], [0.0435, 0.1686, 0.7739], [0.7696, 0.3947, 0.2261], [0.2498, 0.9998, 0.9995], [0.2304, 0.6053, 0.7739], [0.9565, 0.8314, 0.2261]],
  "crystal_system": "monoclinic",
  "e_tot_ev_per_atom": -4.58,
  "de_polymorph_mev_per_atom": 73,
  "total_magnetization_mub_per_cell": 0.00,
  "delta_e_f_mev_per_atom": -26.1
}

(11)
{
  "formula": "Y2PPt",
  "functional": "GGA-PBE",
  "state": "relaxed",
  "lattice": [[-1.1891, -2.6511, 3.9164], [-4.6105, -0.0730, 1.5868], [-2.6913, -4.0343, -0.5120]],
  "species": ["P", "Y", "Pt", "Y"],
  "frac_coords": [[0.5000, 0.5000, 0.5000], [0.7500, 0.7500, 0.7500], [0.2500, 0.2500, 0.2500], [0.0000, 0.0000, 0.0000]],
  "crystal_system": "cubic",
  "e_tot_ev_per_atom": -6.41,
  "total_magnetization_mub_per_cell": 0.00,
  "delta_e_f_mev_per_atom": -312.6
}

(12)
{
  "formula": "CrHRh",
  "functional": "GGA-PBE",
  "state": "relaxed",
  "lattice": [[-0.1723, -0.1048, 2.6892], [2.2301, -1.5139, 0.0839], [1.2597, 4.1961, -1.1079]],
  "species": ["Cr", "Rh", "H"],
  "frac_coords": [[0.6703, 0.6703, 0.3405], [0.9642, 0.9642, 0.9284], [0.2155, 0.2155, 0.4311]],
  "crystal_system": "tetragonal",
  "e_tot_ev_per_atom": -6.64,
  "de_polymorph_mev_per_atom": 167,
  "total_magnetization_mub_per_cell": 0.00
}

(13)
{
  "formula": "UGaW",
  "functional": "GGA-PBE",
  "state": "relaxed",
  "lattice": [[3.4772, 0.0000, 0.0000], [0.0000, 8.2974, 0.0000], [0.0000, 0.0000, 7.7555]],
  "species": ["U", "W", "U", "U", "U", "Ga", "W", "Ga", "Ga", "W", "Ga", "W"],
  "frac_coords": [[0.7500, 0.6153, 0.4764], [0.2500, 0.5608, 0.1101], [0.7500, 0.8847, 0.9764], [0.2500, 0.1153, 0.0236], [0.2500, 0.3847, 0.5236], [0.7500, 0.3410, 0.2188], [0.7500, 0.4392, 0.8899], [0.7500, 0.1590, 0.7188], [0.2500, 0.8410, 0.2812], [0.7500, 0.0608, 0.3899], [0.2500, 0.6590, 0.7812], [0.2500, 0.9392, 0.6101]],
  "crystal_system": "orthorhombic",
  "e_tot_ev_per_atom": -9.03,
  "total_magnetization_mub_per_cell": 4.58,
  "delta_e_f_mev_per_atom": 62.6
}

(14)
{
  "formula": "SrMgCl2",
  "functional": "GGA-PBE",
  "state": "relaxed",
  "lattice": [[8.8137, 0.0000, 0.0000], [0.0000, 8.8137, 0.0000], [4.4068, 4.4068, 4.0164]],
  "species": ["Sr", "Cl", "Sr", "Cl", "Cl", "Mg", "Cl", "Mg"],
  "frac_coords": [[0.0000, 0.0000, 0.0000], [0.3750, 0.2904, 0.7500], [0.7500, 0.2500, 0.5000], [0.7096, 0.1250, 0.2500], [0.0404, 0.6250, 0.2500], [0.2500, 0.7500, 0.5000], [0.8750, 0.9596, 0.7500], [0.5000, 0.5000, 0.0000]],
  "crystal_system": "tetragonal",
  "e_tot_ev_per_atom": -3.10,
  "de_polymorph_mev_per_atom": 157,
  "raw_formation_energy_ev_per_fu": -5.445,
  "total_magnetization_mub_per_cell": 0.00
}

(15)
{
  "formula": "PuTh2ZrP4",
  "functional": "GGA-PBE",
  "state": "relaxed",
  "lattice": [[4.0150, 0.0000, 0.0000], [0.0000, 6.9241, 0.1223], [0.0000, -2.4189, 6.4911]],
  "species": ["Th", "P", "P", "P", "Zr", "Pu", "Th", "P"],
  "frac_coords": [[0.5000, 0.0000, 0.5000], [0.0000, 0.7502, 0.2333], [0.0000, 0.2498, 0.7667], [0.5000, 0.7617, 0.7696], [0.0000, 0.0000, 0.0000], [0.5000, 0.5000, 0.0000], [0.0000, 0.5000, 0.5000], [0.5000, 0.2383, 0.2304]],
  "crystal_system": "monoclinic",
  "e_tot_ev_per_atom": -8.83,
  "total_magnetization_mub_per_cell": 5.27,
  "delta_e_f_mev_per_atom": -1405.6
}

(16)
{
  "formula": "ZrGaBiO6",
  "functional": "GGA-PBE",
  "state": "relaxed",
  "lattice": [[4.8615, 0.0000, 0.0000], [0.0000, 4.8615, 0.0000], [0.0000, 0.0000, 9.7141]],
  "species": ["O", "Bi", "O", "O", "Bi", "O", "O", "O", "Zr", "O", "O", "Ga", "O", "O", "Zr", "Ga", "O", "O"],
  "frac_coords": [[0.8089, 0.1911, 0.4917], [0.0000, 0.0000, 0.6664], [0.3089, 0.3089, 0.9917], [0.2960, 0.2960, 0.3350], [0.5000, 0.5000, 0.1664], [0.3126, 0.3126, 0.6725], [0.6911, 0.6911, 0.9917], [0.1874, 0.8126, 0.1725], [0.0000, 0.0000, 0.0007], [0.7960, 0.2040, 0.8350], [0.6874, 0.6874, 0.6725], [0.5000, 0.5000, 0.8344], [0.8126, 0.1874, 0.1725], [0.2040, 0.7960, 0.8350], [0.5000, 0.5000, 0.5007], [0.0000, 0.0000, 0.3344], [0.1911, 0.8089, 0.4917], [0.7040, 0.7040, 0.3350]],
  "crystal_system": "tetragonal",
  "e_tot_ev_per_atom": -6.89,
  "raw_formation_energy_ev_per_fu": -16.816,
  "total_magnetization_mub_per_cell": 0.00
}

(17)
{
  "formula": "Sr2SN",
  "functional": "GGA-PBE",
  "state": "relaxed",
  "lattice": [[-1.1448, -3.3701, 6.2221], [-4.6163, -4.4213, -3.2440], [0.1530, -6.4553, 0.6608]],
  "species": ["Sr", "S", "Sr", "Sr", "S", "Sr", "N", "N"],
  "frac_coords": [[0.3750, 0.4185, 0.7500], [0.7500, 0.2500, 0.5000], [0.5815, 0.1250, 0.2500], [0.8750, 0.8315, 0.7500], [0.0000, 0.0000, 0.0000], [0.1685, 0.6250, 0.2500], [0.2500, 0.7500, 0.5000], [0.5000, 0.5000, 0.0000]],
  "crystal_system": "tetragonal",
  "e_tot_ev_per_atom": -4.87,
  "de_polymorph_mev_per_atom": 0,
  "raw_formation_energy_ev_per_fu": -3.669,
  "total_magnetization_mub_per_cell": 2.00
}

(18)
{
  "formula": "AlV5Co6",
  "functional": "GGA-PBE",
  "state": "relaxed",
  "lattice": [[-1.5063, -2.2182, -3.0806], [2.7485, 5.8588, -2.8530], [4.1143, -4.3147, 3.8046]],
  "species": ["Co", "V", "V", "Co", "Co", "Al", "Co", "V", "Co", "V", "Co", "V"],
  "frac_coords": [[0.2462, 0.7464, 0.7464], [0.5000, 0.8325, 0.1675], [0.5000, 0.1675, 0.8325], [0.2501, 0.4164, 0.0836], [0.7538, 0.2536, 0.2536], [0.0000, 0.0000, 0.0000], [0.7499, 0.5836, 0.9164], [0.0000, 0.3319, 0.6681], [0.7499, 0.9164, 0.5836], [0.0000, 0.6681, 0.3319], [0.2501, 0.0836, 0.4164], [0.5000, 0.5000, 0.5000]],
  "crystal_system": "orthorhombic",
  "e_tot_ev_per_atom": -7.84,
  "total_magnetization_mub_per_cell": 9.51,
  "delta_e_f_mev_per_atom": -174.8
}

(19)
{
  "formula": "LaPmAu",
  "functional": "GGA-PBE",
  "state": "relaxed",
  "lattice": [[3.9866, 0.0000, 0.0000], [0.0000, 5.0060, 0.0000], [0.0000, -2.5030, 4.3353]],
  "species": ["Au", "Pm", "La"],
  "frac_coords": [[0.3015, 0.3333, 0.6667], [0.0628, 0.0000, 0.0000], [0.6357, 0.6667, 0.3333]],
  "crystal_system": "trigonal",
  "e_tot_ev_per_atom": -4.71,
  "de_polymorph_mev_per_atom": 149,
  "total_magnetization_mub_per_cell": 0.00,
  "delta_e_f_mev_per_atom": -395.8
}